1.
Below is a relaxed TlAuBr2 crystal, with properties calculated at the PBE level.

Calculated values
- Distance to the lowest polymorph of the same formula: 0.59 eV/f.u.
- ΔE_f (raw): -129 kJ/mol of formula units
- D(E_F): 0.00 states/eV/f.u.

a b c (Å): 6.8834 6.8834 13.3133
angles (deg): 90.00 90.00 90.00
Space group I-42d (No. 122)
One atom of each set of equivalent atoms:
1 Tl 0.0000 0.0000 0.0000 (multiplicity 4)
2 Au 0.0000 0.0000 0.5000 (multiplicity 4)
3 Br 0.1829 0.2500 0.6250 (multiplicity 8)


2.
Below is a relaxed LaPm2Pr6Sc crystal, with properties calculated at the PBE level.

Calculated values
- D(E_F): 17.04 states/eV/f.u.
- Energy of formation: 0.247 eV/atom

a b c (Å): 9.6161 11.6245 6.4714
angles (deg): 90.00 90.72 90.00
Space group C2/m (No. 12)
One atom of each set of equivalent atoms:
1 La 0.0000 0.0000 0.0000 (multiplicity 2)
2 Pm 0.1638 0.0000 0.5470 (multiplicity 4)
3 Pr 0.1163 0.2612 0.2612 (multiplicity 8)
4 Pr 0.1617 0.5000 0.9225 (multiplicity 4)
5 Sc 0.0000 0.5000 0.5000 (multiplicity 2)


3.
Below is a relaxed CuHgSe2 crystal, with properties calculated at the PBE level.

Calculated values
- ΔE_f (raw): -5 kJ/mol of formula units
- D(E_F): 2.19 states/eV/f.u.

a b c (Å): 5.4933 5.4933 11.3688
angles (deg): 90.00 90.00 90.00
Space group I4_1/amd (No. 141, origin choice 2)
One atom of each set of equivalent atoms:
1 Cu 0.0000 0.2500 0.3750 (multiplicity 4)
2 Hg 0.0000 0.2500 0.8750 (multiplicity 4)
3 Se 0.0000 0.2500 0.1630 (multiplicity 8)